[1]
{
  "formula": "Te2PSeI",
  "functional": "GGA-PBE",
  "state": "optimized geometry",
  "final_energy_ry_per_atom": -0.175,
  "relative_energy_mev_per_atom": 326,
  "density_g_cm3": 4.74,
  "lattice": [[-1.8790, -5.2230, 0.2512], [3.5399, -1.0741, 4.1459], [-3.8653, 1.5688, 3.7067]],
  "species": ["Te", "Te", "P", "Se", "I"],
  "fractional_positions": [[0.5000, 0.0000, 0.0000], [0.0000, 0.5000, 0.0000], [0.5000, 0.5000, 0.5000], [0.0000, 0.0000, 0.0000], [0.0000, 0.0000, 0.5000]]
}



[2]
{
  "formula": "TePSeI2",
  "functional": "GGA-PBE",
  "state": "optimized geometry",
  "final_energy_ry_per_atom": -0.157,
  "relative_energy_mev_per_atom": 267,
  "density_g_cm3": 4.46,
  "lattice": [[-4.0846, 3.6686, 1.3232], [-2.1359, -3.7075, 3.6859], [3.3176, 2.2017, 4.1370]],
  "species": ["Se", "Te", "P", "I", "I"],
  "fractional_positions": [[0.0000, 0.0000, 0.0000], [0.0000, 0.0000, 0.5000], [0.5000, 0.5000, 0.5000], [0.0000, 0.5000, 0.0000], [0.5000, 0.0000, 0.0000]]
}



[3]
{
  "formula": "Tl5PSe4I2",
  "functional": "GGA-PBE",
  "state": "optimized geometry",
  "final_energy_ry_per_atom": -0.241,
  "density_g_cm3": 5.95,
  "lattice": [[8.9698, 0.0000, 0.0000], [-4.4849, 5.0527, 0.0000], [0.0000, 0.0000, 9.9993]],
  "species": ["Se", "Se", "Se", "Se", "P", "Tl", "Tl", "Tl", "Tl", "Tl", "I", "I"],
  "fractional_positions": [[0.5113, 0.0000, 0.8191], [0.5113, 0.0000, 0.1809], [0.0417, 0.6311, 0.0000], [0.4106, 0.3689, 0.0000], [0.3637, 0.0000, 0.0000], [0.1425, 0.3876, 0.2275], [0.7549, 0.6124, 0.7725], [0.1425, 0.3876, 0.7725], [0.7549, 0.6124, 0.2275], [0.3997, 0.0000, 0.5000], [0.4609, 0.5492, 0.5000], [0.9117, 0.4508, 0.5000]]
}



[4]
{
  "formula": "Y6P2Se3I",
  "functional": "GGA-PBE",
  "state": "optimized geometry",
  "final_energy_ry_per_atom": -0.493,
  "density_g_cm3": 5.35,
  "lattice": [[-0.8737, -3.9319, 0.7493], [3.2339, -2.1246, -7.3778], [7.5200, 1.4236, 5.0386]],
  "species": ["Se", "Se", "Se", "Y", "Y", "Y", "Y", "Y", "Y", "I", "P", "P"],
  "fractional_positions": [[0.1574, 0.8396, 0.3149], [0.5000, 0.5000, 0.0000], [0.8426, 0.1604, 0.6851], [0.3285, 0.4285, 0.6570], [0.0131, 0.2880, 0.0262], [0.3187, 0.8781, 0.6373], [0.9869, 0.7120, 0.9738], [0.6813, 0.1219, 0.3627], [0.6715, 0.5715, 0.3430], [0.5000, 0.0000, 0.0000], [0.8304, 0.6617, 0.6607], [0.1696, 0.3383, 0.3393]]
}



[5]
{
  "formula": "ZrPSe2I",
  "functional": "GGA-PBE",
  "state": "optimized geometry",
  "final_energy_ry_per_atom": -0.322,
  "density_g_cm3": 4.21,
  "lattice": [[5.1630, 0.0000, 0.0000], [0.0000, 6.0226, 0.0000], [0.0000, 0.0000, 5.1630]],
  "species": ["I", "Zr", "P", "Se", "Se"],
  "fractional_positions": [[0.0000, 0.5000, 0.0000], [0.0000, 0.0000, 0.0000], [0.5000, 0.5000, 0.5000], [0.5000, 0.0000, 0.0000], [0.0000, 0.0000, 0.5000]]
}



[6]
{
  "formula": "SiPI",
  "functional": "GGA-PBE",
  "state": "optimized geometry",
  "final_energy_ry_per_atom": -0.318,
  "density_g_cm3": 3.33,
  "lattice": [[6.0023, 0.0000, 0.0000], [0.0000, 6.4541, 0.0000], [0.0000, 0.0000, 9.5845]],
  "species": ["I", "I", "I", "I", "Si", "Si", "Si", "Si", "P", "P", "P", "P"],
  "fractional_positions": [[0.6081, 0.0197, 0.6685], [0.1081, 0.4803, 0.6685], [0.6081, 0.5197, 0.3315], [0.1081, 0.9803, 0.3315], [0.0008, 0.5960, 0.9064], [0.0008, 0.0960, 0.0935], [0.5008, 0.4040, 0.0935], [0.5008, 0.9040, 0.9064], [0.1202, 0.4298, 0.1001], [0.6202, 0.0702, 0.1001], [0.1202, 0.9298, 0.8999], [0.6202, 0.5702, 0.8999]]
}



[7]
{
  "formula": "SiP2I",
  "functional": "GGA-PBE",
  "state": "optimized geometry",
  "final_energy_ry_per_atom": -0.293,
  "relative_energy_mev_per_atom": 0,
  "density_g_cm3": 3.76,
  "lattice": [[6.6652, 0.0000, 0.0000], [0.0000, 6.6652, 0.0000], [3.3326, 3.3326, 4.3084]],
  "species": ["P", "P", "P", "P", "I", "I", "Si", "Si"],
  "fractional_positions": [[0.3750, 0.4568, 0.7500], [0.2068, 0.6250, 0.2500], [0.5432, 0.1250, 0.2500], [0.8750, 0.7932, 0.7500], [0.7500, 0.2500, 0.5000], [0.0000, 0.0000, 0.0000], [0.5000, 0.5000, 0.0000], [0.2500, 0.7500, 0.5000]]
}



[8]
{
  "formula": "Si2PI8",
  "functional": "GGA-PBE",
  "state": "optimized geometry",
  "final_energy_ry_per_atom": -0.199,
  "density_g_cm3": 3.11,
  "lattice": [[10.0267, 0.2863, 0.6588], [0.8373, 7.8008, 0.3177], [0.6488, -2.1672, 7.5190]],
  "species": ["P", "Si", "Si", "I", "I", "I", "I", "I", "I", "I", "I"],
  "fractional_positions": [[0.0000, 0.0000, 0.0000], [0.2080, 0.8256, 0.8256], [0.7920, 0.1744, 0.1744], [0.6651, 0.3227, 0.9854], [0.8363, 0.8250, 0.8250], [0.8209, 0.4187, 0.4187], [0.6651, 0.9854, 0.3227], [0.1791, 0.5813, 0.5813], [0.3349, 0.6773, 0.0146], [0.1637, 0.1750, 0.1750], [0.3349, 0.0146, 0.6773]]
}



[9]
{
  "formula": "Si2P2I",
  "functional": "GGA-PBE",
  "state": "optimized geometry",
  "final_energy_ry_per_atom": -0.324,
  "relative_energy_mev_per_atom": 29,
  "density_g_cm3": 4.43,
  "lattice": [[4.5145, 0.0000, 0.0000], [0.0000, 4.5145, 0.0000], [2.2573, 2.2573, 4.5081]],
  "species": ["P", "P", "I", "Si", "Si"],
  "fractional_positions": [[0.2500, 0.7500, 0.5000], [0.7500, 0.2500, 0.5000], [0.0000, 0.0000, 0.0000], [0.3589, 0.3589, 0.2823], [0.6411, 0.6411, 0.7177]]
}



[10]
{
  "formula": "Si2P2I",
  "functional": "GGA-PBE",
  "state": "optimized geometry",
  "final_energy_ry_per_atom": -0.308,
  "relative_energy_mev_per_atom": 256,
  "density_g_cm3": 2.88,
  "lattice": [[-4.4176, -4.8525, -6.8000], [-0.3708, -7.5708, 5.6434], [-2.7941, 0.9726, 1.1212]],
  "species": ["I", "I", "Si", "Si", "Si", "Si", "P", "P", "P", "P"],
  "fractional_positions": [[0.5000, 0.5000, 0.0000], [0.0000, 0.0000, 0.0000], [0.3873, 0.1127, 0.5000], [0.1127, 0.6127, 0.5000], [0.6127, 0.8873, 0.5000], [0.8873, 0.3873, 0.5000], [0.0873, 0.4127, 0.0000], [0.4127, 0.9127, 0.0000], [0.9127, 0.5873, 0.0000], [0.5873, 0.0873, 0.0000]]
}



[11]
{
  "formula": "Si2PI",
  "functional": "GGA-PBE",
  "state": "optimized geometry",
  "final_energy_ry_per_atom": -0.289,
  "relative_energy_mev_per_atom": 0,
  "density_g_cm3": 3.71,
  "lattice": [[-0.9670, 0.5678, 6.9282], [-6.0723, -3.4739, -0.5629], [-1.6445, -4.8180, 3.7202]],
  "species": ["I", "I", "Si", "Si", "Si", "Si", "P", "P"],
  "fractional_positions": [[0.7500, 0.2500, 0.5000], [0.0000, 0.0000, 0.0000], [0.8750, 0.8047, 0.7500], [0.5547, 0.1250, 0.2500], [0.1953, 0.6250, 0.2500], [0.3750, 0.4453, 0.7500], [0.5000, 0.5000, 0.0000], [0.2500, 0.7500, 0.5000]]
}



[12]
{
  "formula": "Si2P2I",
  "functional": "GGA-PBE",
  "state": "optimized geometry",
  "final_energy_ry_per_atom": -0.327,
  "relative_energy_mev_per_atom": 0,
  "density_g_cm3": 3.81,
  "lattice": [[4.1475, 0.0000, 0.0000], [0.0000, 4.1475, 0.0000], [2.0737, 2.0737, 6.2041]],
  "species": ["Si", "Si", "P", "P", "I"],
  "fractional_positions": [[0.7500, 0.2500, 0.5000], [0.2500, 0.7500, 0.5000], [0.3478, 0.3478, 0.3044], [0.6522, 0.6522, 0.6956], [0.0000, 0.0000, 0.0000]]
}